Entry 1:
## SrGaFeAs2 (GGA-PBE)

Data for an optimized crystal structure of SrGaFeAs2.

Output
The formation energy comes out at 0.1835 eV per atom.

a = 5.092 Å, b = 5.092 Å, c = 4.496 Å
α = 90.00°, β = 90.00°, γ = 90.00°
Space group P4/mmm (No. 123)
Symmetry-distinct sites (fractional):
Sr 0.000 0.000 0.000
Ga 0.500 0.500 0.500
Fe 0.500 0.500 0.000
As 0.000 0.500 0.500


Entry 2:
## Tb2Nd2Ga3 (GGA-PBE)

Data for an optimized crystal structure of Tb2Nd2Ga3.

Output
The formation energy comes out at -0.4326 eV per atom.

a = 3.663 Å, b = 7.453 Å, c = 7.764 Å
α = 65.54°, β = 89.97°, γ = 75.80°
Space group P-1 (No. 2)
Symmetry-distinct sites (fractional):
Tb 0.104 0.291 0.288
Nd 0.180 0.139 0.773
Ga 0.419 0.663 0.038
Ga 0.500 0.500 0.500


Entry 3:
## SrCa2CuH (GGA-PBE)

Data for an optimized crystal structure of SrCa2CuH.

a = 4.816 Å, b = 4.816 Å, c = 5.469 Å
α = 90.00°, β = 90.00°, γ = 90.00°
Space group P4/mmm (No. 123)
Symmetry-distinct sites (fractional):
Sr 0.000 0.000 0.000
Ca 0.000 0.500 0.500
Cu 0.500 0.500 0.000
H 0.000 0.000 0.500


Entry 4:
## PmZrHgPd (GGA-PBE)

Data for an optimized crystal structure of PmZrHgPd.

Output
The formation energy comes out at -0.3487 eV per atom.

a = 7.149 Å, b = 7.149 Å, c = 7.149 Å
α = 90.00°, β = 90.00°, γ = 90.00°
Space group F-43m (No. 216)
Symmetry-distinct sites (fractional):
Pm 0.000 0.000 0.000
Zr 0.000 0.000 0.500
Hg 0.250 0.250 0.250
Pd 0.250 0.250 0.750


Number 1: uncorrected energy -21.55 eV/cell, M_tot 2.88 Bohr magnetons per cell. Number 2: uncorrected energy -30.91 eV/cell, M_tot 0.00 Bohr magnetons per cell. Number 3: uncorrected energy -13.30 eV/cell, M_tot 0.00 Bohr magnetons per cell. Number 4: uncorrected energy -80.75 eV/cell, M_tot 2.11 Bohr magnetons per cell.